CeMoC2 GGA-PBE relaxed; electronic total energy = -8.918 eV per atom; energy relative to the elements = -0.115 eV/atom
1.0
-0.3853 -1.2877 -2.9673
-2.3844 -2.1516 -0.5447
-4.4314 3.0916 -2.5544
Mo C Ce
1 2 1
Cartesian
0.0000 0.0000 0.0000
-1.6531 -0.2647 -1.4586
-5.5480 -0.0830 -4.6079
-3.6005 -0.1739 -3.0332